Entry 1:
The following is a PBE calculation of a relaxed structure of Ac2Ga2Se5, from the Alexandria database.

## Properties
**DOS at the Fermi energy**: 0.219 states/eV/atom
**Crystal system**: monoclinic
**Formation energy from raw total energies**: -11.0 eV/f.u.

Unit cell a=14.936 b=5.195 c=7.727 alpha=90.00 beta=117.25 gamma=90.00
Space group C2/m (No. 12)
Symmetry-distinct sites (fractional):
Ac 0.112 0.000 0.287 x4
Ga 0.157 0.500 0.885 x4
Se 0.000 0.500 0.000 x2
Se 0.140 0.000 0.904 x4
Se 0.157 0.500 0.545 x4


Entry 2:
The following is a PBE calculation of a relaxed structure of TmW6, from the Alexandria database.

## Properties
**DOS at the Fermi energy**: 1.881 states/eV/atom
**Formation enthalpy at 0 K**: 1947 meV per atom
**Crystal system**: cubic

Unit cell a=7.068 b=7.068 c=7.068 alpha=90.00 beta=90.00 gamma=90.00
Space group Im-3m (No. 229)
Symmetry-distinct sites (fractional):
Tm 0.000 0.000 0.000 x2
W 0.000 0.250 0.500 x12


Entry 3:
The following is a PBE calculation of a relaxed structure of SmLuMg4, from the Alexandria database.

## Properties
**DOS at the Fermi energy**: 1.120 states/eV/atom
**Formation enthalpy at 0 K**: -61 meV per atom
**Crystal system**: cubic

Unit cell a=8.531 b=8.531 c=8.531 alpha=90.00 beta=90.00 gamma=90.00
Space group F-43m (No. 216)
Symmetry-distinct sites (fractional):
Sm 0.000 0.000 0.000 x4
Lu 0.250 0.250 0.750 x4
Mg 0.125 0.125 0.375 x16


- The highest DOS at the Fermi energy belongs to which entry?
  TmW6


- What is the formula in the second record?
  TmW6